(1)
{
  "formula": "KPSe2",
  "functional": "PBE",
  "state": "relaxed",
  "energy_ev_per_atom": -3.735,
  "raw_formation_energy_mev_per_atom": -366,
  "vol_a3_per_atom": 25.14,
  "lattice_angstrom": [[1.951, 1.127, 7.625], [-1.951, 1.127, 7.625], [0.000, -2.253, 7.625]],
  "species": ["K", "P", "Se", "Se"],
  "frac_coords": [[0.000, 0.000, 0.000], [0.500, 0.500, 0.500], [0.228, 0.228, 0.228], [0.772, 0.772, 0.772]]
}

(2)
{
  "formula": "KPSe2",
  "functional": "PBE",
  "state": "relaxed",
  "energy_ev_per_atom": -3.119,
  "raw_formation_energy_mev_per_atom": 250,
  "vol_a3_per_atom": 22.83,
  "lattice_angstrom": [[-2.099, 2.099, 5.183], [2.099, -2.099, 5.183], [2.099, 2.099, -5.183]],
  "species": ["K", "P", "Se", "Se"],
  "frac_coords": [[0.000, 0.000, 0.000], [0.250, 0.750, 0.500], [0.500, 0.500, 0.000], [0.750, 0.250, 0.500]]
}

(3)
{
  "formula": "K2PSe",
  "functional": "PBE",
  "state": "relaxed",
  "energy_ev_per_atom": -3.305,
  "raw_formation_energy_mev_per_atom": -533,
  "e_above_lowest_polymorph_mev_per_atom": 0,
  "vol_a3_per_atom": 31.11,
  "lattice_angstrom": [[5.519, -2.544, 0.000], [5.519, 2.544, 0.000], [-0.009, 0.000, 4.432]],
  "species": ["K", "K", "P", "Se"],
  "frac_coords": [[0.000, 0.000, 0.000], [0.727, 0.727, 0.502], [0.310, 0.310, 0.002], [0.417, 0.417, 0.498]]
}

(4)
{
  "formula": "KPSe2",
  "functional": "PBE",
  "state": "relaxed",
  "energy_ev_per_atom": -3.500,
  "raw_formation_energy_mev_per_atom": -131,
  "vol_a3_per_atom": 55.66,
  "lattice_angstrom": [[1.789, -7.114, 0.000], [1.789, 7.114, 0.000], [0.000, 0.000, 8.747]],
  "species": ["K", "P", "Se", "Se"],
  "frac_coords": [[0.000, 0.000, 0.000], [0.000, 0.000, 0.500], [0.500, 0.500, 0.307], [0.500, 0.500, 0.693]]
}